(1)
A relaxed LiYZn3 crystal. Source: Alexandria, functional GGA-PBE.

The structure in CIF format:
```
data_LiYZn3
_chemical_formula_sum 'Li1 Y1 Zn3'
_space_group_name_H-M_alt 'P m -3 m'
_space_group_IT_number 221
_space_group_name_Hall '-P 4 2 3'
_cell_length_a 5.600
_cell_length_b 5.600
_cell_length_c 5.600
_cell_angle_alpha 90.00
_cell_angle_beta 90.00
_cell_angle_gamma 90.00
loop_
_atom_site_label
_atom_site_fract_x
_atom_site_fract_y
_atom_site_fract_z
_atom_site_occupancy
Li1 0.000 0.000 0.000 1
Y1 0.500 0.500 0.500 1
Zn1 0.000 0.500 0.500 1
```

Properties
- size of the total moment (μB per atom) = 0.000
- ρ (g/cm3) = 2.76
- total energy (eV per atom) = -1.774
- crystal system = cubic
- ΔE_f (eV/atom) = 0.666

=====

(2)
A relaxed PrTiP2 crystal. Source: Alexandria, functional GGA-PBE.

The structure in CIF format:
```
data_PrTiP2
_chemical_formula_sum 'Pr2 Ti2 P4'
_space_group_name_H-M_alt 'I -4 m 2'
_space_group_IT_number 119
_space_group_name_Hall 'I -4 -2'
_cell_length_a 3.739
_cell_length_b 3.739
_cell_length_c 12.533
_cell_angle_alpha 90.00
_cell_angle_beta 90.00
_cell_angle_gamma 90.00
loop_
_atom_site_label
_atom_site_fract_x
_atom_site_fract_y
_atom_site_fract_z
_atom_site_occupancy
Pr1 0.000 0.000 0.000 1
Ti1 0.000 0.500 0.750 1
P1 0.000 0.000 0.371 1
```

Properties
- size of the total moment (μB per atom) = 0.111
- ρ (g/cm3) = 4.75
- total energy (eV per atom) = -6.782
- crystal system = tetragonal
- ΔE_f (eV/atom) = -0.909

=====

(3)
A relaxed SnPOsS2 crystal. Source: Alexandria, functional GGA-PBE.

The structure in CIF format:
```
data_SnPOsS2
_chemical_formula_sum 'Sn1 P1 Os1 S2'
_space_group_name_H-M_alt 'P 4/m m m'
_space_group_IT_number 123
_space_group_name_Hall '-P 4 2'
_cell_length_a 4.878
_cell_length_b 4.878
_cell_length_c 4.424
_cell_angle_alpha 90.00
_cell_angle_beta 90.00
_cell_angle_gamma 90.00
loop_
_atom_site_label
_atom_site_fract_x
_atom_site_fract_y
_atom_site_fract_z
_atom_site_occupancy
Sn1 0.000 0.000 0.000 1
P1 0.500 0.500 0.000 1
Os1 0.500 0.500 0.500 1
S1 0.000 0.500 0.500 1
```

Properties
- formation energy from raw total energies (eV/atom) = 0.410
- size of the total moment (μB per atom) = 0.000
- ρ (g/cm3) = 6.37
- total energy (eV per atom) = -5.370
- crystal system = tetragonal

=====

(4)
A relaxed Tb5PrDy2Y crystal. Source: Alexandria, functional GGA-PBE.

The structure in CIF format:
```
data_Tb5PrDy2Y
_chemical_formula_sum 'Tb20 Pr4 Dy8 Y4'
_space_group_name_H-M_alt 'I 4/m c m'
_space_group_IT_number 140
_space_group_name_Hall '-I 4 2c'
_cell_length_a 9.067
_cell_length_b 9.067
_cell_length_c 14.578
_cell_angle_alpha 90.00
_cell_angle_beta 90.00
_cell_angle_gamma 90.00
loop_
_atom_site_label
_atom_site_fract_x
_atom_site_fract_y
_atom_site_fract_z
_atom_site_occupancy
Tb1 0.000 0.000 0.000 1
Tb2 0.205 0.295 0.130 1
Pr1 0.000 0.000 0.250 1
Dy1 0.111 0.389 0.500 1
Y1 0.000 0.500 0.250 1
```

Properties
- size of the total moment (μB per atom) = 0.000
- ρ (g/cm3) = 7.48
- total energy (eV per atom) = -4.555
- crystal system = tetragonal
- ΔE_f (eV/atom) = 0.289

=====

(5)
A relaxed Ba2CuSb4Ir3 crystal. Source: Alexandria, functional GGA-PBE.

The structure in CIF format:
```
data_Ba2CuSb4Ir3
_chemical_formula_sum 'Ba2 Cu1 Sb4 Ir3'
_space_group_name_H-M_alt 'P -4 m 2'
_space_group_IT_number 115
_cell_length_a 4.744
_cell_length_b 4.744
_cell_length_c 10.581
_cell_angle_alpha 90.00
_cell_angle_beta 90.00
_cell_angle_gamma 90.00
loop_
_space_group_symop_operation_xyz
'x,y,z'
'y,-x,-z'
'-x,-y,z'
'-y,x,-z'
'-x,y,z'
'-y,-x,-z'
'x,-y,z'
'y,x,-z'
loop_
_atom_site_label
_atom_site_fract_x
_atom_site_fract_y
_atom_site_fract_z
_atom_site_occupancy
Ba1 0.000 0.500 0.245 1
Cu1 0.500 0.500 0.000 1
Sb1 0.000 0.000 0.500 1
Sb2 0.000 0.500 0.874 1
Sb3 0.500 0.500 0.500 1
Ir1 0.000 0.000 0.000 1
Ir2 0.000 0.500 0.618 1
```

Properties
- formation energy from raw total energies (eV/atom) = -0.481
- size of the total moment (μB per atom) = 0.000
- ρ (g/cm3) = 9.78
- total energy (eV per atom) = -5.582
- crystal system = tetragonal

=====

(6)
A relaxed RbGaNiCl6 crystal. Source: Alexandria, functional GGA-PBE.

The structure in CIF format:
```
data_RbGaNiCl6
_chemical_formula_sum 'Rb1 Ga1 Ni1 Cl6'
_space_group_name_H-M_alt 'P 3 1 2'
_space_group_IT_number 149
_cell_length_a 6.2702
_cell_length_b 6.2702
_cell_length_c 7.4599
_cell_angle_alpha 90.00
_cell_angle_beta 90.00
_cell_angle_gamma 120.00
loop_
_space_group_symop_operation_xyz
'x,y,z'
'-y,x-y,z'
'-x+y,-x,z'
'-y,-x,-z'
'-x+y,y,-z'
'x,x-y,-z'
loop_
_atom_site_label
_atom_site_fract_x
_atom_site_fract_y
_atom_site_fract_z
_atom_site_occupancy
Rb1 0.0000 0.0000 0.0000 1
Ga1 0.6667 0.3333 0.5000 1
Ni1 0.3333 0.6667 0.5000 1
Cl1 0.3717 0.0012 0.6826 1
```

Properties
- formation energy from raw total energies (eV/atom) = -1.114
- size of the total moment (μB per atom) = 0.232
- ρ (g/cm3) = 2.79
- total energy (eV per atom) = -3.432
- crystal system = trigonal